Computed, not measured: Na2TeAsPd6 after structural relaxation at the PBE level of DFT.

Cell and atoms, written as POSCAR:
```
Na2TeAsPd6
1.0
6.585 0.000 0.000
0.000 7.340 0.000
0.000 0.000 8.833
Pd Na Te As
12 4 2 2
Direct
0.000 0.908 0.760
0.288 0.951 0.000
0.704 0.562 0.000
0.204 0.438 0.500
0.500 0.092 0.260
0.796 0.438 0.500
0.788 0.049 0.500
0.296 0.562 0.000
0.000 0.908 0.240
0.500 0.092 0.740
0.212 0.049 0.500
0.712 0.951 0.000
0.000 0.307 0.791
0.000 0.307 0.209
0.500 0.693 0.291
0.500 0.693 0.709
0.500 0.261 0.000
0.000 0.739 0.500
0.500 0.257 0.500
0.000 0.743 0.000
```

Magnetic moment in μB/atom: 0.000
Formation energy (no corrections) in eV per atom: -0.265